Entry from Alexandria via LeMat-Bulk: an optimized crystal structure of Pm2Zn6Si3 (PBE).

M_tot in μB per formula unit: 0.00
Energy in eV/atom: -3.436
Theoretical density in g/cm³: 6.4
SG: No. 189

Cell lengths 7.5298, 7.5298, 4.0577 Å; angles 90.00, 90.00, 120.00 degrees
Closest atoms and distances in Å follow each position.
Atoms (fractional coordinates):
1 Pm 0.3333 0.6667 0.0000  6 Si 3.11, 9 Zn 3.18-3.35
2 Pm 0.6667 0.3333 0.0000  6 Si 3.11, 9 Zn 3.18-3.35
3 Zn 0.0000 0.2959 0.5000  3 Si 2.46-2.59
4 Zn 0.0000 0.8077 0.0000  2 Si 2.46, 2 Zn 2.51
5 Zn 0.1923 0.1923 0.0000  2 Si 2.46, 2 Zn 2.51
6 Zn 0.2959 0.0000 0.5000  3 Si 2.46-2.59
7 Zn 0.7041 0.7041 0.5000  3 Si 2.46-2.59
8 Zn 0.8077 0.0000 0.0000  2 Si 2.46, 2 Zn 2.51
9 Si 0.0000 0.6228 0.5000  5 Zn 2.46-2.59
10 Si 0.3772 0.3772 0.5000  5 Zn 2.46-2.59
11 Si 0.6228 0.0000 0.5000  5 Zn 2.46-2.59